Density functional theory data (PBE) for a relaxed structure of AcCIN2.

Size of the total moment, μB/atom: 0.000
Formation energy (no corrections), eV per atom: -0.9814
Total DFT energy (no corrections), eV per cell: -72.88

CIF file:
```
data_AcCIN2
_chemical_formula_sum 'Ac2 C2 I2 N4'
_space_group_name_H-M_alt 'P 1 21/m 1'
_space_group_IT_number 11
_space_group_name_Hall '-P 2yb'
_cell_length_a 5.6128
_cell_length_b 4.3076
_cell_length_c 8.5176
_cell_angle_alpha 90.00
_cell_angle_beta 98.60
_cell_angle_gamma 90.00
loop_
_atom_site_label
_atom_site_type_symbol
_atom_site_fract_x
_atom_site_fract_y
_atom_site_fract_z
Ac1 Ac 0.1807 0.2500 0.2095
C1 C 0.3465 0.2500 0.8685
I1 I 0.2623 0.7500 0.5556
N1 N 0.1302 0.2500 0.8895
N2 N 0.4397 0.7500 0.1474
```


Density functional theory data (PBE) for a relaxed structure of Ac8C3I3N.

Size of the total moment, μB/atom: 0.072
Formation energy (no corrections), eV per atom: -0.5426
Total DFT energy (no corrections), eV per cell: -163.31

CIF file:
```
data_Ac8C3I3N
_chemical_formula_sum 'Ac16 C6 I6 N2'
_space_group_name_H-M_alt 'C 1 2/m 1'
_space_group_IT_number 12
_space_group_name_Hall '-C 2y'
_cell_length_a 13.9017
_cell_length_b 8.0402
_cell_length_c 9.6144
_cell_angle_alpha 90.00
_cell_angle_beta 118.77
_cell_angle_gamma 90.00
loop_
_atom_site_label
_atom_site_type_symbol
_atom_site_fract_x
_atom_site_fract_y
_atom_site_fract_z
Ac1 Ac 0.0245 0.2495 0.3239
Ac2 Ac 0.2249 0.0000 0.6761
Ac3 Ac 0.2258 0.5000 0.6774
C1 C 0.0000 0.5000 0.5000
C2 C 0.2500 0.2500 0.5000
I1 I 0.0000 0.0000 0.0000
I2 I 0.2500 0.2500 0.0000
N1 N 0.0000 0.0000 0.5000
```


Density functional theory data (PBE) for a relaxed structure of Ac2NdC2I2.

Size of the total moment, μB/atom: 0.000
Formation energy (no corrections), eV per atom: -0.4576
Total DFT energy (no corrections), eV per cell: -75.47

CIF file:
```
data_Ac2NdC2I2
_chemical_formula_sum 'Ac4 Nd2 C4 I4'
_space_group_name_H-M_alt 'I 4/m m m'
_space_group_IT_number 139
_space_group_name_Hall '-I 4 2'
_cell_length_a 4.7952
_cell_length_b 4.7952
_cell_length_c 17.8619
_cell_angle_alpha 90.00
_cell_angle_beta 90.00
_cell_angle_gamma 90.00
loop_
_atom_site_label
_atom_site_type_symbol
_atom_site_fract_x
_atom_site_fract_y
_atom_site_fract_z
Ac1 Ac 0.0000 0.0000 0.0935
Nd1 Nd 0.0000 0.0000 0.5000
C1 C 0.0000 0.5000 0.0000
I1 I 0.0000 0.0000 0.3154
```


Density functional theory data (PBE) for a relaxed structure of Ac8Ni3CI4.

Size of the total moment, μB/atom: 0.000
Formation energy (no corrections), eV per atom: -0.6379
Total DFT energy (no corrections), eV per cell: -151.68

CIF file:
```
data_Ac8Ni3CI4
_chemical_formula_sum 'Ac16 Ni6 C2 I8'
_space_group_name_H-M_alt 'C 1 2/m 1'
_space_group_IT_number 12
_space_group_name_Hall '-C 2y'
_cell_length_a 14.8508
_cell_length_b 8.6195
_cell_length_c 9.8761
_cell_angle_alpha 90.00
_cell_angle_beta 120.10
_cell_angle_gamma 90.00
loop_
_atom_site_label
_atom_site_type_symbol
_atom_site_fract_x
_atom_site_fract_y
_atom_site_fract_z
Ac1 Ac 0.0207 0.2384 0.3209
Ac2 Ac 0.2176 0.0000 0.6801
Ac3 Ac 0.2271 0.5000 0.6828
Ni1 Ni 0.0000 0.5000 0.5000
Ni2 Ni 0.2500 0.2500 0.5000
C1 C 0.0000 0.0000 0.5000
I1 I 0.0000 0.0000 0.0000
I2 I 0.0000 0.5000 0.0000
I3 I 0.2500 0.2500 0.0000
```


Density functional theory data (PBE) for a relaxed structure of Ac4NiCI2.

Size of the total moment, μB/atom: 0.000
Formation energy (no corrections), eV per atom: -0.5757
Total DFT energy (no corrections), eV per cell: -39.15

CIF file:
```
data_Ac4NiCI2
_chemical_formula_sum 'Ac4 Ni1 C1 I2'
_space_group_name_H-M_alt 'P 1 2/m 1'
_space_group_IT_number 10
_space_group_name_Hall '-P 2y'
_cell_length_a 7.5684
_cell_length_b 4.1312
_cell_length_c 8.7614
_cell_angle_alpha 90.00
_cell_angle_beta 106.25
_cell_angle_gamma 90.00
loop_
_atom_site_label
_atom_site_type_symbol
_atom_site_fract_x
_atom_site_fract_y
_atom_site_fract_z
Ac1 Ac 0.2030 0.0000 0.1813
Ac2 Ac 0.2670 0.5000 0.8219
Ni1 Ni 0.5000 0.0000 0.0000
C1 C 0.0000 0.5000 0.0000
I1 I 0.0000 0.0000 0.5000
I2 I 0.5000 0.5000 0.5000
```


Density functional theory data (PBE) for a relaxed structure of Ac6Os2CI3.

Size of the total moment, μB/atom: 0.000
Formation energy (no corrections), eV per atom: -0.5744
Total DFT energy (no corrections), eV per cell: -135.76

CIF file:
```
data_Ac6Os2CI3
_chemical_formula_sum 'Ac12 Os4 C2 I6'
_space_group_name_H-M_alt 'C 1 2/m 1'
_space_group_IT_number 12
_space_group_name_Hall '-C 2y'
_cell_length_a 7.4737
_cell_length_b 12.9291
_cell_length_c 8.8777
_cell_angle_alpha 90.00
_cell_angle_beta 106.34
_cell_angle_gamma 90.00
loop_
_atom_site_label
_atom_site_type_symbol
_atom_site_fract_x
_atom_site_fract_y
_atom_site_fract_z
Ac1 Ac 0.2191 0.1603 0.1788
Ac2 Ac 0.2388 0.5000 0.1787
Os1 Os 0.0000 0.3331 0.0000
C1 C 0.0000 0.0000 0.0000
I1 I 0.0000 0.1683 0.5000
I2 I 0.0000 0.5000 0.5000
```